(a)
DFT (PBE) results for Nd3SN2 after structural relaxation.

Unit cell a=3.5269 b=6.4834 c=10.2476 alpha=90.00 beta=90.00 gamma=90.00
Last column: nearest neighbours and their distance in Å.
Atoms (fractional coordinates):
Nd (0.0000, 0.2426, 0.4054)  5 N 2.46-2.63
S (0.0000, 0.0073, 0.8637)  7 Nd 2.91-3.25
N (0.5000, 0.0085, 0.5055)  6 Nd 2.54-2.63
N (0.0000, 0.5109, 0.7842)  5 Nd 2.43-2.52
Nd (0.5000, 0.2723, 0.6955)  4 N 2.52-2.59
Nd (0.0000, 0.7426, 0.5946)  5 N 2.46-2.63
S (0.0000, 0.5073, 0.1363)  7 Nd 2.91-3.25
N (0.0000, 0.0109, 0.2158)  5 Nd 2.43-2.52
Nd (0.5000, 0.7723, 0.3045)  4 N 2.52-2.59
N (0.5000, 0.5085, 0.4945)  6 Nd 2.54-2.63
Nd (0.5000, 0.6597, 0.9167)  2 N 2.43
Nd (0.5000, 0.1597, 0.0833)  2 N 2.43

Values from the calculation:
DOS(E_F) = 5.47 states/eV/cell
symmetry = No. 26

(b)
DFT (PBE) results for Nd3SN2 after structural relaxation.

Unit cell a=3.8619 b=6.7527 c=10.0906 alpha=90.00 beta=90.00 gamma=106.62
Last column: nearest neighbours and their distance in Å.
Atoms (fractional coordinates):
Nd (0.0705, 0.1411, 0.7500)  2 N 2.30
N (0.5267, 0.0534, 0.2500)  4 Nd 2.21-2.30
N (0.0000, 0.0000, 0.0000)  6 Nd 2.59-2.68
S (0.7481, 0.4961, 0.7500)  6 Nd 3.00-3.15
Nd (0.3782, 0.7565, 0.5681)  1 N 2.21
Nd (0.9295, 0.8589, 0.2500)  2 N 2.30
Nd (0.6218, 0.2435, 0.4319)  1 N 2.21
N (0.4733, 0.9466, 0.7500)  4 Nd 2.21-2.30
N (0.0000, 0.0000, 0.5000)  6 Nd 2.59-2.68
S (0.2519, 0.5039, 0.2500)  6 Nd 3.00-3.15
Nd (0.6218, 0.2435, 0.0681)  1 N 2.21
Nd (0.3782, 0.7565, 0.9319)  1 N 2.21

Values from the calculation:
DOS(E_F) = 4.88 states/eV/cell
symmetry = No. 63

Most stable structure among those shown: (a).